[1]
This record from the Alexandria database describes CeDy4Er8 after structural relaxation. The functional is PBE-GGA.

```
data_CeDy4Er8
_chemical_formula_sum 'Ce3 Dy12 Er24'
_space_group_name_H-M_alt 'R -3 m'
_space_group_IT_number 166
_space_group_name_Hall '-R 3 2"'
_cell_length_a 7.2252
_cell_length_b 7.2252
_cell_length_c 26.5539
_cell_angle_alpha 90.00
_cell_angle_beta 90.00
_cell_angle_gamma 120.00
loop_
_atom_site_label
_atom_site_fract_x
_atom_site_fract_y
_atom_site_fract_z
Ce1 0.0000 0.0000 0.0000
Dy1 0.0000 0.0000 0.5000
Dy2 0.0000 0.5000 0.5000
Er1 0.0000 0.0000 0.2797
Er2 0.0325 0.5163 0.2706
```

=====

[2]
This record from the Alexandria database describes CeDy8Er4 after structural relaxation. The functional is PBE-GGA.

```
data_CeDy8Er4
_chemical_formula_sum 'Ce3 Dy24 Er12'
_space_group_name_H-M_alt 'R -3 m'
_space_group_IT_number 166
_space_group_name_Hall '-R 3 2"'
_cell_length_a 7.2427
_cell_length_b 7.2427
_cell_length_c 26.6836
_cell_angle_alpha 90.00
_cell_angle_beta 90.00
_cell_angle_gamma 120.00
loop_
_atom_site_label
_atom_site_fract_x
_atom_site_fract_y
_atom_site_fract_z
Ce1 0.0000 0.0000 0.0000
Dy1 0.0000 0.0000 0.2794
Dy2 0.0305 0.5152 0.2699
Er1 0.0000 0.0000 0.5000
Er2 0.0000 0.5000 0.5000
```

=====

[3]
# PBE-GGA CeDy4Er5, optimized geometry
data_CeDy4Er5
_chemical_formula_sum 'Ce2 Dy8 Er10'
_space_group_name_H-M_alt 'C 1 2/m 1'
_space_group_IT_number 12
_space_group_name_Hall '-C 2y'
_cell_length_a 21.395
_cell_length_b 3.643
_cell_length_c 8.163
_cell_angle_alpha 90.00
_cell_angle_beta 97.12
_cell_angle_gamma 90.00
loop_
_atom_site_label
_atom_site_fract_x
_atom_site_fract_y
_atom_site_fract_z
Ce1 0.000 0.000 0.000
Dy1 0.112 0.500 0.333
Dy2 0.186 0.000 0.053
Er1 0.000 0.000 0.500
Er2 0.096 0.500 0.757
Er3 0.218 0.000 0.642
# Excess energy over the best structure of this formula in the dataset (eV/atom): 0.000

=====

[4]
# PBE-GGA CeDy7Er2, optimized geometry
data_CeDy7Er2
_chemical_formula_sum 'Ce1 Dy7 Er2'
_space_group_name_H-M_alt 'P -1'
_space_group_IT_number 2
_space_group_name_Hall '-P 1'
_cell_length_a 3.527
_cell_length_b 9.334
_cell_length_c 10.011
_cell_angle_alpha 74.47
_cell_angle_beta 89.99
_cell_angle_gamma 79.18
loop_
_atom_site_label
_atom_site_fract_x
_atom_site_fract_y
_atom_site_fract_z
Ce1 0.000 0.000 0.000
Dy1 0.000 0.000 0.500
Dy2 0.199 0.602 0.599
Dy3 0.399 0.200 0.703
Dy4 0.399 0.201 0.197
Er1 0.200 0.601 0.100
# Excess energy over the best structure of this formula in the dataset (eV/atom): 0.000

=====

[5]
# PBE-GGA CeDy2Er, optimized geometry
data_CeDy2Er
_chemical_formula_sum 'Ce1 Dy2 Er1'
_space_group_name_H-M_alt 'P 4/m m m'
_space_group_IT_number 123
_space_group_name_Hall '-P 4 2'
_cell_length_a 3.513
_cell_length_b 3.513
_cell_length_c 9.973
_cell_angle_alpha 90.00
_cell_angle_beta 90.00
_cell_angle_gamma 90.00
loop_
_atom_site_label
_atom_site_fract_x
_atom_site_fract_y
_atom_site_fract_z
Ce1 0.000 0.000 0.000
Dy1 0.500 0.500 0.247
Er1 0.000 0.000 0.500
# Excess energy over the best structure of this formula in the dataset (eV/atom): 0.006

=====

[6]
# PBE-GGA Ce2DyEr, optimized geometry
data_Ce2DyEr
_chemical_formula_sum 'Ce2 Dy1 Er1'
_space_group_name_H-M_alt 'P 4/m m m'
_space_group_IT_number 123
_space_group_name_Hall '-P 4 2'
_cell_length_a 4.904
_cell_length_b 4.904
_cell_length_c 5.015
_cell_angle_alpha 90.00
_cell_angle_beta 90.00
_cell_angle_gamma 90.00
loop_
_atom_site_label
_atom_site_fract_x
_atom_site_fract_y
_atom_site_fract_z
Ce1 0.000 0.500 0.000
Dy1 0.000 0.000 0.500
Er1 0.500 0.500 0.500
# Excess energy over the best structure of this formula in the dataset (eV/atom): 0.018

=====

[7]
This record from the Alexandria database describes CeDyEr5 after structural relaxation. The functional is PBE-GGA.

```
data_CeDyEr5
_chemical_formula_sum 'Ce4 Dy4 Er20'
_space_group_name_H-M_alt 'C 1 2/c 1'
_space_group_IT_number 15
_space_group_name_Hall '-C 2yc'
_cell_length_a 11.536
_cell_length_b 12.110
_cell_length_c 6.601
_cell_angle_alpha 90.00
_cell_angle_beta 107.39
_cell_angle_gamma 90.00
loop_
_atom_site_label
_atom_site_fract_x
_atom_site_fract_y
_atom_site_fract_z
Ce1 0.000 0.078 0.250
Dy1 0.000 0.500 0.000
Er1 0.000 0.219 0.750
Er2 0.172 0.294 0.266
Er3 0.238 0.051 0.075
```

=====

[8]
This record from the Alexandria database describes CeDy6Er8 after structural relaxation. The functional is PBE-GGA.

```
data_CeDy6Er8
_chemical_formula_sum 'Ce3 Dy18 Er24'
_space_group_name_H-M_alt 'R -3'
_space_group_IT_number 148
_space_group_name_Hall '-R 3'
_cell_length_a 8.9436
_cell_length_b 8.9436
_cell_length_c 20.4189
_cell_angle_alpha 90.00
_cell_angle_beta 90.00
_cell_angle_gamma 120.00
loop_
_atom_site_label
_atom_site_fract_x
_atom_site_fract_y
_atom_site_fract_z
Ce1 0.0000 0.0000 0.0000
Dy1 0.0642 0.8161 0.7085
Er1 0.0000 0.0000 0.4230
Er2 0.0815 0.5251 0.8068
```

=====

[9]
This record from the Alexandria database describes Ce2Dy7Er2 after structural relaxation. The functional is PBE-GGA.

```
data_Ce2Dy7Er2
_chemical_formula_sum 'Ce4 Dy14 Er4'
_space_group_name_H-M_alt 'C 1 2/m 1'
_space_group_IT_number 12
_space_group_name_Hall '-C 2y'
_cell_length_a 13.090
_cell_length_b 15.487
_cell_length_c 3.591
_cell_angle_alpha 90.00
_cell_angle_beta 97.71
_cell_angle_gamma 90.00
loop_
_atom_site_label
_atom_site_fract_x
_atom_site_fract_y
_atom_site_fract_z
Ce1 0.093 0.000 0.396
Dy1 0.000 0.500 0.500
Dy2 0.175 0.319 0.673
Dy3 0.207 0.500 0.120
Er1 0.000 0.180 0.000
```

=====

[10]
This record from the Alexandria database describes CeDy5Er3 after structural relaxation. The functional is PBE-GGA.

```
data_CeDy5Er3
_chemical_formula_sum 'Ce4 Dy20 Er12'
_space_group_name_H-M_alt 'C 1 2/m 1'
_space_group_IT_number 12
_space_group_name_Hall '-C 2y'
_cell_length_a 11.439
_cell_length_b 11.237
_cell_length_c 11.551
_cell_angle_alpha 90.00
_cell_angle_beta 119.45
_cell_angle_gamma 90.00
loop_
_atom_site_label
_atom_site_fract_x
_atom_site_fract_y
_atom_site_fract_z
Ce1 0.086 0.000 0.302
Dy1 0.000 0.279 0.500
Dy2 0.015 0.500 0.883
Dy3 0.140 0.250 0.258
Dy4 0.177 0.500 0.438
Er1 0.000 0.000 0.000
Er2 0.000 0.000 0.500
Er3 0.167 0.500 0.728
Er4 0.207 0.000 0.833
```

=====

[11]
# PBE-GGA CeDy3Er, optimized geometry
data_CeDy3Er
_chemical_formula_sum 'Ce4 Dy12 Er4'
_space_group_name_H-M_alt 'C 1 2/m 1'
_space_group_IT_number 12
_space_group_name_Hall '-C 2y'
_cell_length_a 5.440
_cell_length_b 11.470
_cell_length_c 11.043
_cell_angle_alpha 90.00
_cell_angle_beta 90.22
_cell_angle_gamma 90.00
loop_
_atom_site_label
_atom_site_fract_x
_atom_site_fract_y
_atom_site_fract_z
Ce1 0.000 0.141 0.000
Dy1 0.003 0.338 0.745
Dy2 0.004 0.000 0.753
Er1 0.000 0.151 0.500
# Excess energy over the best structure of this formula in the dataset (eV/atom): 0.266

=====

[12]
# PBE-GGA CeDy4Er2, optimized geometry
data_CeDy4Er2
_chemical_formula_sum 'Ce2 Dy8 Er4'
_space_group_name_H-M_alt 'C m m m'
_space_group_IT_number 65
_space_group_name_Hall '-C 2 2'
_cell_length_a 3.585
_cell_length_b 22.587
_cell_length_c 5.596
_cell_angle_alpha 90.00
_cell_angle_beta 90.00
_cell_angle_gamma 90.00
loop_
_atom_site_label
_atom_site_fract_x
_atom_site_fract_y
_atom_site_fract_z
Ce1 0.000 0.000 0.000
Dy1 0.000 0.191 0.500
Dy2 0.000 0.332 0.000
Er1 0.000 0.431 0.500
# Excess energy over the best structure of this formula in the dataset (eV/atom): 0.174

=====

[13]
# PBE-GGA CeDyEr4, optimized geometry
data_CeDyEr4
_chemical_formula_sum 'Ce4 Dy4 Er16'
_space_group_name_H-M_alt 'I m m a'
_space_group_IT_number 74
_space_group_name_Hall '-I 2b 2'
_cell_length_a 6.584
_cell_length_b 11.406
_cell_length_c 10.016
_cell_angle_alpha 90.00
_cell_angle_beta 90.00
_cell_angle_gamma 90.00
loop_
_atom_site_label
_atom_site_fract_x
_atom_site_fract_y
_atom_site_fract_z
Ce1 0.000 0.000 0.000
Dy1 0.250 0.250 0.250
Er1 0.000 0.002 0.666
Er2 0.249 0.250 0.916
# Excess energy over the best structure of this formula in the dataset (eV/atom): 0.258

=====

[14]
# PBE-GGA Ce2Dy12Er5, optimized geometry
data_Ce2Dy12Er5
_chemical_formula_sum 'Ce4 Dy24 Er10'
_space_group_name_H-M_alt 'C 1 2/m 1'
_space_group_IT_number 12
_space_group_name_Hall '-C 2y'
_cell_length_a 17.562
_cell_length_b 11.528
_cell_length_c 6.067
_cell_angle_alpha 90.00
_cell_angle_beta 102.87
_cell_angle_gamma 90.00
loop_
_atom_site_label
_atom_site_fract_x
_atom_site_fract_y
_atom_site_fract_z
Ce1 0.000 0.225 0.000
Dy1 0.059 0.500 0.277
Dy2 0.102 0.249 0.617
Dy3 0.119 0.000 0.002
Dy4 0.200 0.255 0.206
Er1 0.000 0.000 0.500
Er2 0.177 0.500 0.862
Er3 0.213 0.000 0.553
# Excess energy over the best structure of this formula in the dataset (eV/atom): 0.000

=====

[15]
This record from the Alexandria database describes CeDy6Er4 after structural relaxation. The functional is PBE-GGA.

```
data_CeDy6Er4
_chemical_formula_sum 'Ce4 Dy24 Er16'
_space_group_name_H-M_alt 'C m c m'
_space_group_IT_number 63
_space_group_name_Hall '-C 2c 2'
_cell_length_a 5.669
_cell_length_b 9.560
_cell_length_c 25.584
_cell_angle_alpha 90.00
_cell_angle_beta 90.00
_cell_angle_gamma 90.00
loop_
_atom_site_label
_atom_site_fract_x
_atom_site_fract_y
_atom_site_fract_z
Ce1 0.000 0.187 0.250
Dy1 0.000 0.143 0.681
Dy2 0.000 0.189 0.102
Dy3 0.000 0.479 0.750
Dy4 0.000 0.500 0.000
Er1 0.000 0.158 0.542
Er2 0.000 0.472 0.622
```

=====

[16]
# PBE-GGA CeDy2Er6, optimized geometry
data_CeDy2Er6
_chemical_formula_sum 'Ce3 Dy6 Er18'
_space_group_name_H-M_alt 'R 3 m'
_space_group_IT_number 160
_space_group_name_Hall 'R 3 -2"'
_cell_length_a 7.2188
_cell_length_b 7.2188
_cell_length_c 18.7603
_cell_angle_alpha 90.00
_cell_angle_beta 90.00
_cell_angle_gamma 120.00
loop_
_atom_site_label
_atom_site_fract_x
_atom_site_fract_y
_atom_site_fract_z
Ce1 0.0000 0.0000 0.0000
Dy1 0.0000 0.0000 0.5613
Dy2 0.0000 0.0000 0.7391
Er1 0.1726 0.3453 0.8852
Er2 0.1848 0.3696 0.0799
# Excess energy over the best structure of this formula in the dataset (eV/atom): 0.226

=====

[17]
This record from the Alexandria database describes CeDy9Er2 after structural relaxation. The functional is PBE-GGA.

```
data_CeDy9Er2
_chemical_formula_sum 'Ce1 Dy9 Er2'
_space_group_name_H-M_alt 'P 4/m m m'
_space_group_IT_number 123
_space_group_name_Hall '-P 4 2'
_cell_length_a 4.998
_cell_length_b 4.998
_cell_length_c 15.008
_cell_angle_alpha 90.00
_cell_angle_beta 90.00
_cell_angle_gamma 90.00
loop_
_atom_site_label
_atom_site_fract_x
_atom_site_fract_y
_atom_site_fract_z
Ce1 0.000 0.000 0.000
Dy1 0.000 0.500 0.166
Dy2 0.000 0.500 0.500
Dy3 0.500 0.500 0.000
Dy4 0.500 0.500 0.335
Er1 0.000 0.000 0.333
```

=====

[18]
# PBE-GGA Ce2DyEr, optimized geometry
data_Ce2DyEr
_chemical_formula_sum 'Ce4 Dy2 Er2'
_space_group_name_H-M_alt 'P -1'
_space_group_IT_number 2
_space_group_name_Hall '-P 1'
_cell_length_a 6.375
_cell_length_b 6.454
_cell_length_c 6.548
_cell_angle_alpha 60.51
_cell_angle_beta 88.85
_cell_angle_gamma 87.99
loop_
_atom_site_label
_atom_site_fract_x
_atom_site_fract_y
_atom_site_fract_z
Ce1 0.213 0.487 0.466
Ce2 0.286 0.051 0.467
Dy1 0.000 0.000 0.000
Dy2 0.500 0.000 0.000
Er1 0.250 0.536 0.926
# Excess energy over the best structure of this formula in the dataset (eV/atom): 0.085

=====

[19]
This record from the Alexandria database describes CeDy5Er8 after structural relaxation. The functional is PBE-GGA.

```
data_CeDy5Er8
_chemical_formula_sum 'Ce2 Dy10 Er16'
_space_group_name_H-M_alt 'I -4'
_space_group_IT_number 82
_space_group_name_Hall 'I -4'
_cell_length_a 9.405
_cell_length_b 9.405
_cell_length_c 10.117
_cell_angle_alpha 90.00
_cell_angle_beta 90.00
_cell_angle_gamma 90.00
loop_
_atom_site_label
_atom_site_fract_x
_atom_site_fract_y
_atom_site_fract_z
Ce1 0.000 0.000 0.000
Dy1 0.000 0.500 0.750
Dy2 0.112 0.289 0.326
Er1 0.072 0.177 0.651
Er2 0.087 0.324 0.998
```

=====

[20]
This record from the Alexandria database describes Ce2Dy4Er5 after structural relaxation. The functional is PBE-GGA.

```
data_Ce2Dy4Er5
_chemical_formula_sum 'Ce2 Dy4 Er5'
_space_group_name_H-M_alt 'P -1'
_space_group_IT_number 2
_space_group_name_Hall '-P 1'
_cell_length_a 3.473
_cell_length_b 8.663
_cell_length_c 11.578
_cell_angle_alpha 96.93
_cell_angle_beta 98.56
_cell_angle_gamma 90.00
loop_
_atom_site_label
_atom_site_fract_x
_atom_site_fract_y
_atom_site_fract_z
Ce1 0.188 0.435 0.376
Dy1 0.131 0.056 0.261
Dy2 0.400 0.302 0.801
Er1 0.035 0.348 0.074
Er2 0.236 0.823 0.472
Er3 0.500 0.000 0.000
```

=====

Number 1: raw total energy -4.50 eV per atom. Number 2: raw total energy -4.53 eV per atom. Number 3: raw total energy -4.63 eV per atom. Number 4: raw total energy -4.69 eV per atom. Number 5: raw total energy -4.86 eV per atom. Number 6: raw total energy -5.15 eV per atom. Number 7: raw total energy -4.57 eV per atom. Number 8: raw total energy -4.54 eV per atom. Number 9: raw total energy -4.46 eV per atom. Number 10: raw total energy -4.14 eV per atom. Number 11: raw total energy -4.43 eV per atom. Number 12: raw total energy -4.57 eV per atom. Number 13: raw total energy -4.52 eV per atom. Number 14: raw total energy -4.60 eV per atom. Number 15: raw total energy -4.56 eV per atom. Number 16: raw total energy -4.41 eV per atom. Number 17: raw total energy -4.67 eV per atom. Number 18: raw total energy -5.09 eV per atom. Number 19: raw total energy -4.40 eV per atom. Number 20: raw total energy -4.72 eV per atom.